PBEsol Ag9Pb4O12, relaxed; ΔE_f (raw) = -45 kJ per mole of atoms; SG = No. 14; calculated density = 8.7 g/cm3
1.0
-7.410 4.183 -1.560
-2.907 -4.089 7.024
3.167 7.789 5.845
Ag Pb O
18 8 24
direct
0.373 0.380 0.748
0.500 0.500 0.000
0.514 0.732 0.743
0.627 0.620 0.252
0.755 0.755 0.007
0.745 0.745 0.507
0.486 0.268 0.257
0.873 0.880 0.752
0.758 0.984 0.256
0.000 0.000 0.500
0.127 0.120 0.248
0.014 0.232 0.757
0.742 0.516 0.756
0.245 0.245 0.993
0.255 0.255 0.493
0.986 0.768 0.243
0.258 0.484 0.244
0.242 0.016 0.744
0.373 0.874 0.084
0.627 0.126 0.916
0.625 0.132 0.581
0.873 0.374 0.416
0.875 0.368 0.081
0.125 0.632 0.919
0.127 0.626 0.584
0.375 0.868 0.419
0.411 0.711 0.251
0.372 0.069 0.558
0.372 0.062 0.934
0.628 0.938 0.066
0.628 0.931 0.442
0.656 0.969 0.748
0.589 0.289 0.749
0.618 0.314 0.066
0.626 0.312 0.434
0.882 0.186 0.566
0.874 0.188 0.934
0.911 0.211 0.249
0.844 0.531 0.248
0.872 0.562 0.566
0.872 0.569 0.942
0.128 0.431 0.058
0.128 0.438 0.434
0.156 0.469 0.752
0.089 0.789 0.751
0.126 0.812 0.066
0.118 0.814 0.434
0.374 0.688 0.566
0.382 0.686 0.934
0.344 0.031 0.252